[1]
# Tb2PmHo2Mg

Tb2PmHo2Mg after structural relaxation (PBE-GGA, Alexandria).

```
12
Lattice="3.660 0.000 0.000 0.000 5.509 0.000 0.000 0.000 18.652" Properties=species:S:1:pos:R:3 pbc="T T T"
Tb 0.000 2.747 12.765
Ho 0.000 2.748 16.145
Tb 1.830 5.501 15.212
Mg 1.830 2.754 0.000
Tb 1.830 0.007 3.439
Ho 0.000 2.761 2.507
Ho 1.830 0.007 6.819
Pm 1.830 2.754 9.326
Mg 0.000 0.000 9.326
Tb 0.000 2.762 5.886
Ho 1.830 5.502 11.833
Pm 0.000 0.000 0.000
```

## Properties
E: -4.029 eV/atom
energy of formation from the pure elements: 0.10 eV/atom
crystal system: orthorhombic
total magnetization: 0.00 μB per cell

***

[2]
# SiAs4P

SiAs4P after structural relaxation (PBE-GGA, Alexandria).

```
6
Lattice="0.000 3.887 3.887 3.887 0.000 3.887 3.887 3.887 0.000" Properties=species:S:1:pos:R:3 pbc="T T T"
P 5.830 5.830 5.830
As 2.913 2.913 2.913
Si 0.000 0.000 0.000
As 4.861 4.861 2.913
As 4.861 2.913 4.861
As 2.913 4.861 4.861
```

## Properties
E: -4.086 eV/atom
formation energy (no corrections): 0.819 eV/atom
crystal system: cubic
total magnetization: 0.00 μB per cell

***

[3]
# Sm3TmHg3

Sm3TmHg3 after structural relaxation (PBE-GGA, Alexandria).

```
14
Lattice="-2.892 4.313 0.435 -7.709 -4.954 -2.137 2.681 0.893 8.975" Properties=species:S:1:pos:R:3 pbc="T T T"
Tm -4.969 -1.927 1.676
Sm -4.064 2.010 -0.134
Hg -3.395 -1.144 4.373
Hg -4.525 1.395 2.900
Sm -1.912 0.108 1.826
Sm -3.856 -1.758 7.407
Hg -7.996 -0.974 3.305
Hg 0.077 1.225 3.968
Hg -6.722 0.267 -0.525
Sm 1.251 1.717 6.906
Hg -1.198 -0.015 7.798
Sm -9.171 -1.465 0.367
Sm -6.008 0.144 5.447
Tm -2.951 2.178 5.597
```

## Properties
E: -3.039 eV/atom
energy of formation from the pure elements: -0.25 eV/atom
crystal system: hexagonal
total magnetization: 0.00 μB per cell

***

[4]
# Mn2PdAu8

Mn2PdAu8 after structural relaxation (PBE-GGA, Alexandria).

```
11
Lattice="-2.517 -0.836 -1.244 -0.716 -5.234 4.968 -2.723 8.491 3.251" Properties=species:S:1:pos:R:3 pbc="T T T"
Mn -3.677 1.668 2.868
Au -0.870 -3.046 3.808
Au -1.273 1.597 1.502
Au -5.086 5.466 3.167
Pd -1.259 -0.418 -0.622
Au -3.600 3.492 4.936
Au -3.378 -1.799 4.593
Au -2.356 -1.072 2.038
Au -4.684 0.823 5.473
Mn -2.280 0.753 4.107
Au -2.579 4.219 2.381
```

## Properties
E: -4.401 eV/atom
energy of formation from the pure elements: 0.12 eV/atom
excess energy over the best structure of this formula in the dataset: 42.2 meV/atom
crystal system: monoclinic
total magnetization: 1.07 μB per cell

***

[5]
# PbC

PbC after structural relaxation (PBE-GGA, Alexandria).

```
2
Lattice="3.279 0.000 0.000 0.000 3.279 0.000 0.000 0.000 3.279" Properties=species:S:1:pos:R:3 pbc="T T T"
Pb 1.640 1.640 1.640
C 0.000 0.000 0.000
```

## Properties
E: -4.170 eV/atom
energy of formation from the pure elements: 2.30 eV/atom
excess energy over the best structure of this formula in the dataset: 1444.2 meV/atom
crystal system: cubic
total magnetization: 0.27 μB per cell

***

[6]
# Zn2IrSe

Zn2IrSe after structural relaxation (PBE-GGA, Alexandria).

```
4
Lattice="2.864 -0.007 0.000 -1.492 2.445 0.000 0.000 0.000 9.734" Properties=species:S:1:pos:R:3 pbc="T T T"
Se 0.686 1.219 6.948
Zn 0.686 1.219 2.593
Zn 0.000 0.000 0.257
Ir 0.000 0.000 4.803
```

## Properties
E: -3.483 eV/atom
formation energy (no corrections): 0.240 eV/atom
crystal system: orthorhombic
total magnetization: 0.00 μB per cell

***

[7]
# Dy2Y7Th2

Dy2Y7Th2 after structural relaxation (PBE-GGA, Alexandria).

```
11
Lattice="9.470 0.000 0.000 0.000 8.437 -2.867 0.000 -1.937 5.264" Properties=species:S:1:pos:R:3 pbc="T T T"
Y 7.865 3.250 1.198
Y 2.925 -0.968 2.632
Y 3.215 4.219 -1.434
Y 0.000 0.000 0.000
Dy 4.735 4.854 1.789
Y 1.605 3.250 1.198
Y 6.545 7.468 -0.235
Y 6.255 2.281 3.830
Dy 4.735 1.646 0.607
Th 9.470 0.819 3.292
Th 0.000 5.681 -0.895
```

## Properties
E: -6.133 eV/atom
energy of formation from the pure elements: 0.17 eV/atom
excess energy over the best structure of this formula in the dataset: 0.0 meV/atom
crystal system: orthorhombic
total magnetization: 0.00 μB per cell

***

[8]
# Sr5Ca2Mg

Sr5Ca2Mg after structural relaxation (PBE-GGA, Alexandria).

```
16
Lattice="6.097 0.000 0.000 0.000 7.907 0.000 0.000 0.000 15.587" Properties=species:S:1:pos:R:3 pbc="T T T"
Sr 0.000 7.282 11.433
Ca 3.049 6.511 2.106
Ca 3.049 2.557 5.687
Sr 0.000 3.328 11.947
Ca 3.049 1.396 13.481
Sr 3.049 2.539 1.629
Sr 3.049 6.493 6.164
Sr 0.000 3.953 7.793
Sr 3.049 1.414 9.423
Sr 0.000 0.000 0.000
Sr 3.049 5.368 13.958
Sr 0.000 4.578 3.640
Ca 3.049 5.349 9.900
Mg 0.000 0.000 7.793
Mg 0.000 3.953 0.000
Sr 0.000 0.625 4.153
```

## Properties
E: -1.725 eV/atom
energy of formation from the pure elements: 0.03 eV/atom
crystal system: orthorhombic
total magnetization: 0.00 μB per cell

***

[9]
# TaTc3N

TaTc3N after structural relaxation (PBE-GGA, Alexandria).

```
5
Lattice="4.764 0.000 0.000 0.000 4.764 0.000 0.000 0.000 4.764" Properties=species:S:1:pos:R:3 pbc="T T T"
N 2.382 2.382 2.382
Tc 2.382 0.000 0.000
Tc 0.000 0.000 2.382
Tc 0.000 2.382 0.000
Ta 0.000 0.000 0.000
```

## Properties
E: -7.287 eV/atom
excess energy over the best structure of this formula in the dataset: 3160.7 meV/atom
formation energy (no corrections): 2.969 eV/atom
crystal system: cubic
total magnetization: 1.19 μB per cell

***

[10]
# Er7Tm2Sc2

Er7Tm2Sc2 after structural relaxation (PBE-GGA, Alexandria).

```
11
Lattice="-3.057 -0.393 1.780 -1.082 -10.329 -0.583 3.360 -5.617 8.085" Properties=species:S:1:pos:R:3 pbc="T T T"
Er 1.459 -6.209 8.248
Sc -0.663 -13.537 6.543
Tm -0.044 -7.803 5.316
Er -1.345 -2.604 4.230
Sc -0.876 -3.609 1.256
Er 1.964 -12.253 7.780
Er -1.571 -6.187 3.051
Tm 0.158 -9.014 1.837
Er -0.303 -9.589 8.033
Er 0.057 -10.933 4.797
Er 1.278 -4.891 4.670
```

## Properties
E: -4.700 eV/atom
energy of formation from the pure elements: 0.17 eV/atom
excess energy over the best structure of this formula in the dataset: 0.0 meV/atom
crystal system: orthorhombic
total magnetization: 0.00 μB per cell

***

[11]
# KSrMo

KSrMo after structural relaxation (PBE-GGA, Alexandria).

```
3
Lattice="-7.423 3.488 -2.072 -8.350 -0.796 1.096 8.023 0.244 2.670" Properties=species:S:1:pos:R:3 pbc="T T T"
K -0.435 0.074 -0.027
Mo -10.698 1.826 -0.662
Sr -4.641 0.792 -0.287
```

## Properties
E: -3.257 eV/atom
energy of formation from the pure elements: 1.28 eV/atom
excess energy over the best structure of this formula in the dataset: 31.0 meV/atom
crystal system: tetragonal
total magnetization: 3.29 μB per cell

***

[12]
# Zn2CdIr

Zn2CdIr after structural relaxation (PBE-GGA, Alexandria).

```
4
Lattice="4.782 -0.076 0.000 1.442 4.560 0.000 -3.112 -2.242 2.857" Properties=species:S:1:pos:R:3 pbc="T T T"
Zn 3.112 2.242 0.000
Ir 2.391 -0.038 1.428
Cd 0.721 2.280 1.428
Zn 0.000 0.000 0.000
```

## Properties
E: -3.122 eV/atom
energy of formation from the pure elements: -0.04 eV/atom
crystal system: tetragonal
total magnetization: 0.00 μB per cell